{"formula": "Rb2Ta3VO12", "functional": "GGA+U", "state": "optimized geometry", "lattice_angstrom": [[7.343, -0.030, -0.021], [3.600, 6.400, -0.021], [3.600, 2.096, 6.047]], "species": ["O", "O", "Ta", "Ta", "O", "O", "O", "O", "O", "O", "Rb", "Rb", "Ta", "V", "O", "O", "O", "O"], "fractional_positions": [[0.683, 0.061, 0.683], [0.941, 0.299, 0.941], [0.000, 0.000, 0.500], [0.500, 0.000, 0.000], [0.941, 0.941, 0.299], [0.059, 0.701, 0.059], [0.299, 0.941, 0.941], [0.061, 0.683, 0.683], [0.317, 0.939, 0.317], [0.317, 0.317, 0.939], [0.626, 0.626, 0.626], [0.374, 0.374, 0.374], [0.000, 0.500, 0.000], [0.000, 0.000, 0.000], [0.701, 0.059, 0.059], [0.939, 0.317, 0.317], [0.059, 0.059, 0.701], [0.683, 0.683, 0.061]], "energy_ev_per_atom": -8.098, "rho_g_cm3": 5.56, "sg": "R-3m (166)", "volume_a3_per_atom": 15.9}